Entry 1:
Material: Li12Hg3H5
Method: DFT, GGA-PBE
State: relaxed

Properties
Final energy = -355.334 eV/cell
Theoretical density = 4.0 Mg/m³

Unit cell a=13.232 b=13.232 c=13.232 alpha=90.00 beta=90.00 gamma=90.00
Space group Ia-3d (No. 230)
Inequivalent atoms, fractional coordinates:
1 Li 0.044 0.044 0.647
2 Hg 0.000 0.250 0.125
3 H 0.000 0.000 0.000
4 H 0.000 0.250 0.375

Entry 2:
Material: Li3HgH
Method: DFT, GGA-PBE
State: relaxed

Properties
Final energy = -10.943 eV/cell
Theoretical density = 5.4 Mg/m³

Unit cell a=4.089 b=4.089 c=4.089 alpha=90.00 beta=90.00 gamma=90.00
Space group Pm-3m (No. 221)
Inequivalent atoms, fractional coordinates:
1 Li 0.000 0.000 0.500
2 Hg 0.500 0.500 0.500
3 H 0.000 0.000 0.000

Entry 3:
Material: Li3Hg5H12
Method: DFT, GGA-PBE
State: relaxed

Properties
Final energy = -339.457 eV/cell
Theoretical density = 6.9 Mg/m³

Unit cell a=12.563 b=12.563 c=12.563 alpha=90.00 beta=90.00 gamma=90.00
Space group Ia-3d (No. 230)
Inequivalent atoms, fractional coordinates:
1 Li 0.000 0.250 0.125
2 Hg 0.000 0.000 0.000
3 Hg 0.000 0.250 0.375
4 H 0.024 0.053 0.653

Entry 4:
Material: Li4Hg2H
Method: DFT, GGA-PBE
State: relaxed

Properties
Final energy = -27.158 eV/cell
Theoretical density = 6.7 Mg/m³

Unit cell a=3.900 b=3.900 c=14.094 alpha=90.00 beta=90.00 gamma=90.00
Space group I4/mmm (No. 139)
Inequivalent atoms, fractional coordinates:
1 Li 0.000 0.000 0.144
2 Li 0.000 0.500 0.000
3 Hg 0.000 0.000 0.339
4 H 0.000 0.000 0.000

Entry 5:
Material: Li4HgH
Method: DFT, GGA-PBE
State: relaxed

Properties
Final energy = -12.826 eV/cell
Theoretical density = 4.3 Mg/m³

Unit cell a=3.042 b=5.177 c=6.068 alpha=92.39 beta=104.37 gamma=106.60
Space group P-1 (No. 2)
Inequivalent atoms, fractional coordinates:
1 Li 0.096 0.386 0.308
2 Li 0.315 0.225 0.899
3 Hg 0.500 0.000 0.500
4 H 0.000 0.500 0.000

Entry 6:
Material: Li3HgH
Method: DFT, GGA-PBE
State: relaxed

Properties
Final energy = -43.774 eV/cell
Theoretical density = 5.3 Mg/m³

Unit cell a=9.324 b=4.460 c=7.323 alpha=90.00 beta=113.54 gamma=90.00
Space group C2/m (No. 12)
Inequivalent atoms, fractional coordinates:
1 Li 0.101 0.000 0.187
2 Li 0.121 0.000 0.674
3 Li 0.140 0.500 0.934
4 Hg 0.128 0.500 0.429
5 H 0.133 0.000 0.944

Entry 7:
Material: Li2HgH2
Method: DFT, GGA-PBE
State: relaxed

Properties
Relative energy among the computed polymorphs = 157 meV per atom
Theoretical density = 6.1 Mg/m³

Unit cell a=6.333 b=6.333 c=2.927 alpha=90.00 beta=90.00 gamma=90.00
Space group P4/mbm (No. 127)
Inequivalent atoms, fractional coordinates:
1 Li 0.151 0.349 0.000
2 Hg 0.000 0.000 0.500
3 H 0.142 0.642 0.500

Entry 8:
Material: Li2MgHgH
Method: DFT, GGA-PBE
State: relaxed

Properties
Final energy = -10.437 eV/cell
Theoretical density = 5.4 Mg/m³

Unit cell a=4.120 b=4.120 c=4.323 alpha=90.00 beta=90.00 gamma=90.00
Space group P4/mmm (No. 123)
Inequivalent atoms, fractional coordinates:
1 Li 0.000 0.500 0.000
2 Mg 0.000 0.000 0.500
3 Hg 0.500 0.500 0.500
4 H 0.000 0.000 0.000

Q: Look up the theoretical density of the fourth one.
A: 6.7 Mg/m³

Q: Which of these has the highest theoretical density?
A: Li3Hg5H12